Material: Na2TlCd
Method: DFT, PBE-GGA
State: optimized geometry

Space-group type: No. 10
DFT total energy, eV per atom: -1.571
Crystal system: monoclinic

Unit cell a=3.343 b=4.838 c=6.781 alpha=90.00 beta=91.24 gamma=90.00
Element x y z (fractional)
Na 0.001 0.000 0.252
Na 0.999 0.000 0.748
Tl 0.500 0.500 0.000
Cd 0.500 0.500 0.500


Material: UPdSe
Method: DFT, PBE-GGA
State: optimized geometry

Space-group type: No. 107
DFT total energy, eV per atom: -7.254
Raw formation energy, meV/atom: -599
Relative energy among the computed polymorphs, kJ/mol of formula units: 0
Crystal system: tetragonal

Unit cell a=3.638 b=3.638 c=9.142 alpha=90.00 beta=90.00 gamma=90.00
Element x y z (fractional)
U 0.000 0.000 0.000
U 0.500 0.500 0.500
Pd 0.000 0.000 0.338
Pd 0.500 0.500 0.838
Se 0.000 0.000 0.667
Se 0.500 0.500 0.167


Material: ErZr2Tl
Method: DFT, PBE-GGA
State: optimized geometry

Space-group type: No. 63
DFT total energy, eV per atom: -6.162
Relative energy among the computed polymorphs, kJ/mol of formula units: 0
Crystal system: orthorhombic

Unit cell a=4.704 b=21.739 c=3.999 alpha=90.00 beta=90.00 gamma=90.00
Element x y z (fractional)
Er 0.000 0.193 0.250
Er 0.000 0.807 0.750
Er 0.500 0.307 0.750
Er 0.500 0.693 0.250
Zr 0.000 0.053 0.750
Zr 0.000 0.448 0.750
Zr 0.000 0.552 0.250
Zr 0.000 0.947 0.250
Zr 0.500 0.052 0.250
Zr 0.500 0.447 0.250
Zr 0.500 0.553 0.750
Zr 0.500 0.948 0.750
Tl 0.000 0.337 0.250
Tl 0.000 0.663 0.750
Tl 0.500 0.163 0.750
Tl 0.500 0.837 0.250


Material: Sn2Te2Rh
Method: DFT, PBE-GGA
State: optimized geometry

Space-group type: No. 127
DFT total energy, eV per atom: -4.138
Raw formation energy, meV/atom: 190
Relative energy among the computed polymorphs, kJ/mol of formula units: 204
Crystal system: tetragonal

Unit cell a=7.086 b=7.086 c=5.229 alpha=90.00 beta=90.00 gamma=90.00
Element x y z (fractional)
Sn 0.155 0.345 0.000
Sn 0.345 0.845 0.000
Sn 0.655 0.155 0.000
Sn 0.845 0.655 0.000
Te 0.191 0.691 0.500
Te 0.309 0.191 0.500
Te 0.691 0.809 0.500
Te 0.809 0.309 0.500
Rh 0.000 0.000 0.000
Rh 0.500 0.500 0.000


Material: PmHgTe
Method: DFT, PBE-GGA
State: optimized geometry

Space-group type: No. 156
DFT total energy, eV per atom: -3.353
Raw formation energy, meV/atom: -622
Relative energy among the computed polymorphs, kJ/mol of formula units: 89
Crystal system: trigonal

Unit cell a=5.037 b=5.037 c=4.006 alpha=90.00 beta=90.00 gamma=120.00
Element x y z (fractional)
Pm 0.000 0.000 0.000
Hg 0.667 0.333 0.706
Te 0.333 0.667 0.424


Material: HgSb2F11
Method: DFT, PBE-GGA
State: optimized geometry

Space-group type: No. 72
DFT total energy, eV per atom: -4.159
Raw formation energy, meV/atom: -2079
Crystal system: orthorhombic

Unit cell a=8.583 b=8.583 c=8.583 alpha=113.62 beta=113.43 gamma=101.64
Element x y z (fractional)
Hg 0.250 0.250 0.000
Hg 0.750 0.750 0.000
Sb 0.159 0.656 0.815
Sb 0.341 0.156 0.498
Sb 0.659 0.844 0.502
Sb 0.841 0.344 0.185
F 0.000 0.500 0.500
F 0.072 0.371 0.192
F 0.119 0.924 0.294
F 0.129 0.424 0.804
F 0.180 0.881 0.808
F 0.198 0.297 0.495
F 0.302 0.797 0.098
F 0.320 0.129 0.701
F 0.371 0.175 0.294
F 0.381 0.675 0.804
F 0.428 0.619 0.299
F 0.500 0.000 0.500
F 0.572 0.381 0.701
F 0.619 0.325 0.196
F 0.629 0.825 0.706
F 0.680 0.871 0.299
F 0.698 0.203 0.902
F 0.802 0.703 0.505
F 0.820 0.119 0.192
F 0.871 0.576 0.196
F 0.881 0.076 0.706
F 0.928 0.629 0.808


Material: Li3ZnIr
Method: DFT, PBE-GGA
State: optimized geometry

Space-group type: No. 42
DFT total energy, eV per atom: -3.200
Relative energy among the computed polymorphs, kJ/mol of formula units: 55
Crystal system: orthorhombic

Unit cell a=5.882 b=4.452 c=5.130 alpha=75.38 beta=47.08 gamma=57.54
Element x y z (fractional)
Li 0.000 0.000 0.000
Li 0.195 0.195 0.305
Li 0.695 0.695 0.805
Zn 0.337 0.337 0.663
Ir 0.672 0.672 0.328


Material: Pm6GeRh2Cl3
Method: DFT, PBE-GGA
State: optimized geometry

Space-group type: No. 12
DFT total energy, eV per atom: -5.591
Raw formation energy, meV/atom: -1144
Crystal system: monoclinic

Unit cell a=7.194 b=7.194 c=7.675 alpha=99.01 beta=99.01 gamma=120.01
Element x y z (fractional)
Pm 0.083 0.430 0.788
Pm 0.223 0.223 0.212
Pm 0.430 0.083 0.788
Pm 0.570 0.917 0.212
Pm 0.777 0.777 0.788
Pm 0.917 0.570 0.212
Ge 0.500 0.500 0.000
Rh 0.167 0.833 0.000
Rh 0.833 0.167 0.000
Cl 0.000 0.000 0.500
Cl 0.340 0.660 0.500
Cl 0.660 0.340 0.500